one | DFT (PBE) results for a relaxed structure of Li2Ac2Pd3.

For the volume, the calculation gives 23.50 Å³/atom.

a = 12.1597 Å, b = 4.1038 Å, c = 7.0774 Å
α = 90.00°, β = 111.30°, γ = 90.00°
Space group C2/m (No. 12)
One atom of each set of equivalent atoms:
Li  0.1829  0.0000  0.3150 (multiplicity 4)
Ac  0.1081  0.0000  0.7838 (multiplicity 4)
Pd  0.0000  0.5000  0.0000 (multiplicity 2)
Pd  0.0946  0.5000  0.4317 (multiplicity 4)

two | DFT (PBE) results for a relaxed structure of Li2Ac2Pd3.

For the volume, the calculation gives 22.95 Å³/atom.

a = 4.2267 Å, b = 19.6361 Å, c = 7.7419 Å
α = 90.00°, β = 90.00°, γ = 90.00°
Space group Cmcm (No. 63)
One atom of each set of equivalent atoms:
Li  0.0000  0.1930  0.0628 (multiplicity 8)
Ac  0.0000  0.3455  0.2500 (multiplicity 4)
Ac  0.0000  0.4440  0.7500 (multiplicity 4)
Pd  0.0000  0.0639  0.5663 (multiplicity 8)
Pd  0.0000  0.2751  0.7500 (multiplicity 4)

The structure with the least stability is one.

one | DFT (PBE) results for a relaxed structure of Li2Ac3Pd4.

For the volume, the calculation gives 24.14 Å³/atom.

a = 10.9122 Å, b = 4.4103 Å, c = 9.1327 Å
α = 90.00°, β = 98.63°, γ = 90.00°
Space group C2/m (No. 12)
One atom of each set of equivalent atoms:
Li  0.1832  0.0000  0.2935 (multiplicity 4)
Ac  0.0000  0.5000  0.5000 (multiplicity 2)
Ac  0.1208  0.0000  0.8782 (multiplicity 4)
Pd  0.0907  0.5000  0.1373 (multiplicity 4)
Pd  0.2161  0.0000  0.5885 (multiplicity 4)

two | DFT (PBE) results for a relaxed structure of Li2Ac3Pd4.

For the volume, the calculation gives 24.14 Å³/atom.

a = 11.6183 Å, b = 4.4865 Å, c = 8.9751 Å
α = 90.00°, β = 111.75°, γ = 90.00°
Space group C2/m (No. 12)
One atom of each set of equivalent atoms:
Li  0.1748  0.0000  0.3470 (multiplicity 4)
Ac  0.0000  0.5000  0.0000 (multiplicity 2)
Ac  0.1359  0.0000  0.6983 (multiplicity 4)
Pd  0.0800  0.5000  0.4065 (multiplicity 4)
Pd  0.2115  0.0000  0.0682 (multiplicity 4)

The structure with the least stability is one.

one | DFT (PBE) results for a relaxed structure of Li4Ac3Pd4.

For the volume, the calculation gives 22.61 Å³/atom.

a = 4.2872 Å, b = 7.7422 Å, c = 14.9852 Å
α = 90.00°, β = 90.00°, γ = 90.00°
Space group Immm (No. 71)
One atom of each set of equivalent atoms:
Li  0.0000  0.1860  0.1762 (multiplicity 8)
Ac  0.0000  0.0000  0.3742 (multiplicity 4)
Ac  0.0000  0.5000  0.5000 (multiplicity 2)
Pd  0.0000  0.3058  0.0000 (multiplicity 4)
Pd  0.0000  0.5000  0.2795 (multiplicity 4)

two | DFT (PBE) results for a relaxed structure of Li4Ac3Pd4.

For the volume, the calculation gives 22.89 Å³/atom.

a = 4.1419 Å, b = 4.3232 Å, c = 14.3655 Å
α = 81.58°, β = 81.81°, γ = 89.99°
Space group P-1 (No. 2)
One atom of each set of equivalent atoms:
Li  0.0963  0.0948  0.3080 (multiplicity 2)
Li  0.2503  0.7504  0.9997 (multiplicity 2)
Ac  0.3518  0.3535  0.7953 (multiplicity 2)
Ac  0.5000  0.0000  0.5000 (multiplicity 1)
Pd  0.0489  0.5491  0.4008 (multiplicity 2)
Pd  0.1874  0.1873  0.1248 (multiplicity 2)

The structure with the least stability is two.

one | DFT (PBE) results for a relaxed structure of SrLiAcPd.

For the volume, the calculation gives 33.16 Å³/atom.

a = 7.6459 Å, b = 4.4170 Å, c = 8.2606 Å
α = 90.00°, β = 108.06°, γ = 90.00°
Space group Cm (No. 8)
One atom of each set of equivalent atoms:
Sr  0.0000  0.0000  0.0000 (multiplicity 2)
Li  0.0793  0.5000  0.7394 (multiplicity 2)
Ac  0.3207  0.5000  0.4650 (multiplicity 2)
Pd  0.2320  0.0000  0.6980 (multiplicity 2)

two | DFT (PBE) results for a relaxed structure of SrLiAcPd.

For the volume, the calculation gives 28.93 Å³/atom.

a = 7.7356 Å, b = 7.7356 Å, c = 7.7356 Å
α = 90.00°, β = 90.00°, γ = 90.00°
Space group F-43m (No. 216)
One atom of each set of equivalent atoms:
Sr  0.0000  0.0000  0.0000 (multiplicity 4)
Li  0.2500  0.2500  0.2500 (multiplicity 4)
Ac  0.0000  0.0000  0.5000 (multiplicity 4)
Pd  0.2500  0.2500  0.7500 (multiplicity 4)

The structure with the least stability is two.

one | DFT (PBE) results for a relaxed structure of LiAcTlPd.

For the volume, the calculation gives 23.77 Å³/atom.

a = 7.2449 Å, b = 7.2449 Å, c = 7.2449 Å
α = 90.00°, β = 90.00°, γ = 90.00°
Space group F-43m (No. 216)
One atom of each set of equivalent atoms:
Li  0.0000  0.0000  0.0000 (multiplicity 4)
Ac  0.2500  0.2500  0.2500 (multiplicity 4)
Tl  0.2500  0.2500  0.7500 (multiplicity 4)
Pd  0.0000  0.0000  0.5000 (multiplicity 4)

two | DFT (PBE) results for a relaxed structure of LiAcTlPd.

For the volume, the calculation gives 24.85 Å³/atom.

a = 8.2624 Å, b = 4.7712 Å, c = 5.7628 Å
α = 90.00°, β = 118.96°, γ = 90.00°
Space group Cm (No. 8)
One atom of each set of equivalent atoms:
Li  0.0000  0.0000  0.0000 (multiplicity 2)
Ac  0.1996  0.0000  0.6030 (multiplicity 2)
Tl  0.1935  0.5000  0.0818 (multiplicity 2)
Pd  0.4117  0.0000  0.2354 (multiplicity 2)

The structure with the least stability is one.

one | DFT (PBE) results for a relaxed structure of LiAcPm2.

For the volume, the calculation gives 34.08 Å³/atom.

a = 5.9455 Å, b = 5.9455 Å, c = 3.8569 Å
α = 90.00°, β = 90.00°, γ = 90.00°
Space group P4/mmm (No. 123)
One atom of each set of equivalent atoms:
Li  0.0000  0.0000  0.0000 (multiplicity 1)
Ac  0.5000  0.5000  0.0000 (multiplicity 1)
Pm  0.0000  0.5000  0.5000 (multiplicity 2)

two | DFT (PBE) results for a relaxed structure of LiAcPm2.

For the volume, the calculation gives 34.45 Å³/atom.

a = 3.5709 Å, b = 3.5709 Å, c = 37.4351 Å
α = 90.00°, β = 90.00°, γ = 120.00°
Space group R-3m (No. 166, hexagonal axes)
One atom of each set of equivalent atoms:
Li  0.0000  0.0000  0.0000 (multiplicity 3)
Ac  0.0000  0.0000  0.5000 (multiplicity 3)
Pm  0.0000  0.0000  0.4051 (multiplicity 6)

The structure with the least stability is two.

one | DFT (PBE) results for a relaxed structure of LiAcPm2.

For the volume, the calculation gives 34.32 Å³/atom.

a = 8.1887 Å, b = 8.1887 Å, c = 8.1887 Å
α = 90.00°, β = 90.00°, γ = 90.00°
Space group Fm-3m (No. 225)
One atom of each set of equivalent atoms:
Li  0.0000  0.0000  0.0000 (multiplicity 4)
Ac  0.0000  0.0000  0.5000 (multiplicity 4)
Pm  0.2500  0.2500  0.2500 (multiplicity 8)

two | DFT (PBE) results for a relaxed structure of LiAcPm2.

For the volume, the calculation gives 33.06 Å³/atom.

a = 3.8448 Å, b = 3.8448 Å, c = 8.9450 Å
α = 90.00°, β = 90.00°, γ = 90.00°
Space group P4/mmm (No. 123)
One atom of each set of equivalent atoms:
Li  0.0000  0.0000  0.0000 (multiplicity 1)
Ac  0.0000  0.0000  0.5000 (multiplicity 1)
Pm  0.5000  0.5000  0.2100 (multiplicity 2)

three | DFT (PBE) results for a relaxed structure of LiAcPm2.

For the volume, the calculation gives 34.57 Å³/atom.

a = 3.6983 Å, b = 3.6983 Å, c = 35.0248 Å
α = 90.00°, β = 90.00°, γ = 120.00°
Space group R3m (No. 160, hexagonal axes)
One atom of each set of equivalent atoms:
Li  0.0000  0.0000  0.0000 (multiplicity 3)
Ac  0.0000  0.0000  0.1666 (multiplicity 3)
Pm  0.0000  0.0000  0.4098 (multiplicity 3)
Pm  0.0000  0.0000  0.5898 (multiplicity 3)

The structure with the least stability is one.

one | DFT (PBE) results for a relaxed structure of LiAcPmTl.

For the volume, the calculation gives 30.74 Å³/atom.

a = 4.4406 Å, b = 5.1726 Å, c = 5.3525 Å
α = 90.00°, β = 90.00°, γ = 90.00°
Space group Pmmm (No. 47)
One atom of each set of equivalent atoms:
Li  0.0000  0.0000  0.0000 (multiplicity 1)
Ac  0.5000  0.5000  0.0000 (multiplicity 1)
Pm  0.5000  0.0000  0.5000 (multiplicity 1)
Tl  0.0000  0.5000  0.5000 (multiplicity 1)

two | DFT (PBE) results for a relaxed structure of LiAcPmTl.

For the volume, the calculation gives 31.20 Å³/atom.

a = 7.9327 Å, b = 7.9327 Å, c = 7.9327 Å
α = 90.00°, β = 90.00°, γ = 90.00°
Space group F-43m (No. 216)
One atom of each set of equivalent atoms:
Li  0.0000  0.0000  0.0000 (multiplicity 4)
Ac  0.2500  0.2500  0.2500 (multiplicity 4)
Pm  0.2500  0.2500  0.7500 (multiplicity 4)
Tl  0.0000  0.0000  0.5000 (multiplicity 4)

The structure with the least stability is one.

one | DFT (PBE) results for a relaxed structure of LiAcPr.

For the volume, the calculation gives 35.68 Å³/atom.

a = 3.7792 Å, b = 3.7792 Å, c = 8.6551 Å
α = 90.00°, β = 90.00°, γ = 120.00°
Space group P3m1 (No. 156)
One atom of each set of equivalent atoms:
Li  0.0000  0.0000  0.0000 (multiplicity 1)
Ac  0.6667  0.3333  0.3298 (multiplicity 1)
Pr  0.3333  0.6667  0.6851 (multiplicity 1)

two | DFT (PBE) results for a relaxed structure of LiAcPr.

For the volume, the calculation gives 34.07 Å³/atom.

a = 3.8521 Å, b = 3.8521 Å, c = 13.7748 Å
α = 90.00°, β = 90.00°, γ = 90.00°
Space group P4/nmm (No. 129, origin choice 2)
One atom of each set of equivalent atoms:
Li  0.2500  0.2500  0.0450 (multiplicity 2)
Ac  0.2500  0.2500  0.7849 (multiplicity 2)
Pr  0.2500  0.2500  0.4081 (multiplicity 2)

three | DFT (PBE) results for a relaxed structure of LiAcPr.

For the volume, the calculation gives 33.89 Å³/atom.

a = 3.9521 Å, b = 3.9521 Å, c = 13.0191 Å
α = 90.00°, β = 90.00°, γ = 90.00°
Space group I4mm (No. 107)
One atom of each set of equivalent atoms:
Li  0.0000  0.0000  0.0000 (multiplicity 2)
Ac  0.0000  0.0000  0.3401 (multiplicity 2)
Pr  0.0000  0.0000  0.6404 (multiplicity 2)

The structure with the least stability is one.

one | DFT (PBE) results for a relaxed structure of LiAc2Pr.

For the volume, the calculation gives 37.62 Å³/atom.

a = 8.4432 Å, b = 8.4432 Å, c = 8.4432 Å
α = 90.00°, β = 90.00°, γ = 90.00°
Space group Fm-3m (No. 225)
One atom of each set of equivalent atoms:
Li  0.0000  0.0000  0.0000 (multiplicity 4)
Ac  0.2500  0.2500  0.2500 (multiplicity 8)
Pr  0.0000  0.0000  0.5000 (multiplicity 4)

two | DFT (PBE) results for a relaxed structure of LiAc2Pr.

For the volume, the calculation gives 38.68 Å³/atom.

a = 3.7356 Å, b = 3.7356 Å, c = 38.4114 Å
α = 90.00°, β = 90.00°, γ = 120.00°
Space group R-3m (No. 166, hexagonal axes)
One atom of each set of equivalent atoms:
Li  0.0000  0.0000  0.0000 (multiplicity 3)
Ac  0.0000  0.0000  0.4074 (multiplicity 6)
Pr  0.0000  0.0000  0.5000 (multiplicity 3)

three | DFT (PBE) results for a relaxed structure of LiAc2Pr.

For the volume, the calculation gives 37.09 Å³/atom.

a = 3.9494 Å, b = 3.9494 Å, c = 9.5121 Å
α = 90.00°, β = 90.00°, γ = 90.00°
Space group P4/mmm (No. 123)
One atom of each set of equivalent atoms:
Li  0.0000  0.0000  0.0000 (multiplicity 1)
Ac  0.5000  0.5000  0.2253 (multiplicity 2)
Pr  0.0000  0.0000  0.5000 (multiplicity 1)

four | DFT (PBE) results for a relaxed structure of LiAc2Pr.

For the volume, the calculation gives 38.65 Å³/atom.

a = 3.8748 Å, b = 3.8748 Å, c = 35.6739 Å
α = 90.00°, β = 90.00°, γ = 120.00°
Space group R3m (No. 160, hexagonal axes)
One atom of each set of equivalent atoms:
Li  0.0000  0.0000  0.0000 (multiplicity 3)
Ac  0.0000  0.0000  0.4132 (multiplicity 3)
Ac  0.0000  0.0000  0.5860 (multiplicity 3)
Pr  0.0000  0.0000  0.8326 (multiplicity 3)

The structure with the least stability is two.

one | DFT (PBE) results for a relaxed structure of LiAcPr2.

For the volume, the calculation gives 35.63 Å³/atom.

a = 3.7355 Å, b = 3.7355 Å, c = 35.3860 Å
α = 90.00°, β = 90.00°, γ = 120.00°
Space group R3m (No. 160, hexagonal axes)
One atom of each set of equivalent atoms:
Li  0.0000  0.0000  0.0000 (multiplicity 3)
Ac  0.0000  0.0000  0.1667 (multiplicity 3)
Pr  0.0000  0.0000  0.4099 (multiplicity 3)
Pr  0.0000  0.0000  0.5898 (multiplicity 3)

two | DFT (PBE) results for a relaxed structure of LiAcPr2.

For the volume, the calculation gives 37.79 Å³/atom.

a = 3.6935 Å, b = 3.6935 Å, c = 38.3850 Å
α = 90.00°, β = 90.00°, γ = 120.00°
Space group R-3m (No. 166, hexagonal axes)
One atom of each set of equivalent atoms:
Li  0.0000  0.0000  0.0000 (multiplicity 3)
Ac  0.0000  0.0000  0.5000 (multiplicity 3)
Pr  0.0000  0.0000  0.0874 (multiplicity 6)

The structure with the least stability is two.